! LaTb2Y4Mg | the Alexandria database | GGA-PBE | relaxed; values from VASP
&SYSTEM
  ibrav = 0, nat = 8, ntyp = 4
/
ATOMIC_SPECIES
La 138.91 La.upf
Tb 158.93 Tb.upf
Y 88.91 Y.upf
Mg 24.30 Mg.upf
CELL_PARAMETERS angstrom
-4.695 -1.680 0.148
3.498 -9.279 5.627
0.033 0.346 4.983
ATOMIC_POSITIONS angstrom
La -0.599 -5.479 2.888
Tb 0.033 0.346 4.983
Tb -2.331 -0.667 2.565
Y 2.656 -6.723 7.959
Y -3.821 -3.890 2.799
Y 0.294 -7.740 5.542
Y -1.458 -2.872 5.216
Mg 1.765 -4.466 5.305
! - Calculated density: 5.440 g cm⁻³
! - Space-group type: P4/mmm, No. 123
! - M_tot: 0.00 μB per atom
! - Energy relative to the elements: 0.027 eV per atom